A plane-wave DFT calculation with PBE was carried out for a relaxed Al3Cl7O crystal.

Results
Size of the total moment (Bohr magnetons per cell): 0.0
Uncorrected formation energy (eV per formula unit): -18.001
E (hartree per atom): -0.157
DOS(E_F) (states/eV per atom): 0.000

```
data_Al3Cl7O
_space_group_name_H-M_alt 'P 1'
_space_group_IT_number 1
_space_group_name_Hall 'P 1'
_cell_length_a 6.520
_cell_length_b 6.632
_cell_length_c 6.632
_cell_angle_alpha 120.00
_cell_angle_beta 90.00
_cell_angle_gamma 90.00
loop_
_atom_site_label
_atom_site_type_symbol
_atom_site_fract_x
_atom_site_fract_y
_atom_site_fract_z
Al1 Al 0.767 0.484 0.516
Al2 Al 0.767 0.484 0.968
Al3 Al 0.767 0.032 0.516
Cl1 Cl 0.989 0.168 0.832
Cl2 Cl 0.989 0.168 0.336
Cl3 Cl 0.976 0.667 0.333
Cl4 Cl 0.572 0.830 0.170
Cl5 Cl 0.572 0.341 0.170
Cl6 Cl 0.572 0.830 0.659
Cl7 Cl 0.989 0.664 0.832
O1 O 0.656 0.333 0.667
```



A plane-wave DFT calculation with PBE was carried out for a relaxed AlClO crystal.

Results
Size of the total moment (Bohr magnetons per cell): 0.0
Uncorrected formation energy (eV per formula unit): -6.775
E (hartree per atom): -0.212
DOS(E_F) (states/eV per atom): 0.000

```
data_AlClO
_space_group_name_H-M_alt 'P 1'
_space_group_IT_number 1
_space_group_name_Hall 'P 1'
_cell_length_a 3.388
_cell_length_b 7.209
_cell_length_c 6.557
_cell_angle_alpha 48.99
_cell_angle_beta 89.92
_cell_angle_gamma 76.33
loop_
_atom_site_label
_atom_site_type_symbol
_atom_site_fract_x
_atom_site_fract_y
_atom_site_fract_z
Al1 Al 0.355 0.790 0.676
Al2 Al 0.645 0.210 0.324
Cl1 Cl 0.579 0.342 0.900
Cl2 Cl 0.421 0.658 0.100
O1 O 0.829 0.843 0.554
O2 O 0.171 0.157 0.446
```



A plane-wave DFT calculation with PBE was carried out for a relaxed AlClO crystal.

Results
Size of the total moment (Bohr magnetons per cell): 0.0
Uncorrected formation energy (eV per formula unit): -7.048
E (hartree per atom): -0.216
DOS(E_F) (states/eV per atom): 0.000

```
data_AlClO
_space_group_name_H-M_alt 'P 1'
_space_group_IT_number 1
_space_group_name_Hall 'P 1'
_cell_length_a 3.173
_cell_length_b 3.657
_cell_length_c 8.577
_cell_angle_alpha 90.00
_cell_angle_beta 90.00
_cell_angle_gamma 90.00
loop_
_atom_site_label
_atom_site_type_symbol
_atom_site_fract_x
_atom_site_fract_y
_atom_site_fract_z
Al1 Al 0.500 0.000 0.903
Al2 Al 0.000 0.500 0.097
Cl1 Cl 0.000 0.000 0.707
Cl2 Cl 0.500 0.500 0.293
O1 O 0.500 0.500 0.955
O2 O 0.000 0.000 0.045
```



A plane-wave DFT calculation with PBE was carried out for a relaxed AlPCl2O crystal.

Results
Size of the total moment (Bohr magnetons per cell): 0.0
Energy above the lowest structure with this stoichiometry (eV/atom): 0.190
Uncorrected formation energy (eV per formula unit): 1.197
E (hartree per atom): -0.122
DOS(E_F) (states/eV per atom): 0.292

```
data_AlPCl2O
_space_group_name_H-M_alt 'P 1'
_space_group_IT_number 1
_space_group_name_Hall 'P 1'
_cell_length_a 4.582
_cell_length_b 4.582
_cell_length_c 5.009
_cell_angle_alpha 90.00
_cell_angle_beta 90.00
_cell_angle_gamma 90.00
loop_
_atom_site_label
_atom_site_type_symbol
_atom_site_fract_x
_atom_site_fract_y
_atom_site_fract_z
P1 P 0.000 0.000 0.500
Al1 Al 0.000 0.000 0.000
O1 O 0.500 0.500 0.500
Cl1 Cl 0.000 0.500 0.000
Cl2 Cl 0.500 0.000 0.000
```



A plane-wave DFT calculation with PBE was carried out for a relaxed AlPCl2O crystal.

Results
Size of the total moment (Bohr magnetons per cell): 0.0
Energy above the lowest structure with this stoichiometry (eV/atom): 0.000
Uncorrected formation energy (eV per formula unit): 0.246
E (hartree per atom): -0.129
DOS(E_F) (states/eV per atom): 0.631

```
data_AlPCl2O
_space_group_name_H-M_alt 'P 1'
_space_group_IT_number 1
_space_group_name_Hall 'P 1'
_cell_length_a 5.680
_cell_length_b 5.680
_cell_length_c 3.341
_cell_angle_alpha 90.00
_cell_angle_beta 90.00
_cell_angle_gamma 90.00
loop_
_atom_site_label
_atom_site_type_symbol
_atom_site_fract_x
_atom_site_fract_y
_atom_site_fract_z
P1 P 0.000 0.000 0.500
Al1 Al 0.500 0.500 0.500
O1 O 0.000 0.000 0.000
Cl1 Cl 0.000 0.500 0.000
Cl2 Cl 0.500 0.000 0.000
```



A plane-wave DFT calculation with PBE was carried out for a relaxed AlRhCl2O crystal.

Results
Size of the total moment (Bohr magnetons per cell): 2.0
Uncorrected formation energy (eV per formula unit): -1.147
E (hartree per atom): -0.154
DOS(E_F) (states/eV per atom): 1.039

```
data_AlRhCl2O
_space_group_name_H-M_alt 'P 1'
_space_group_IT_number 1
_space_group_name_Hall 'P 1'
_cell_length_a 5.538
_cell_length_b 3.241
_cell_length_c 5.538
_cell_angle_alpha 90.00
_cell_angle_beta 90.00
_cell_angle_gamma 90.00
loop_
_atom_site_label
_atom_site_type_symbol
_atom_site_fract_x
_atom_site_fract_y
_atom_site_fract_z
Rh1 Rh 0.500 0.500 0.500
Al1 Al 0.000 0.500 0.000
O1 O 0.000 0.000 0.000
Cl1 Cl 0.000 0.000 0.500
Cl2 Cl 0.500 0.000 0.000
```



A plane-wave DFT calculation with PBE was carried out for a relaxed AlSCl2O crystal.

Results
Size of the total moment (Bohr magnetons per cell): 3.0
Energy above the lowest structure with this stoichiometry (eV/atom): 0.000
Uncorrected formation energy (eV per formula unit): 0.167
E (hartree per atom): -0.120
DOS(E_F) (states/eV per atom): 0.494

```
data_AlSCl2O
_space_group_name_H-M_alt 'P 1'
_space_group_IT_number 1
_space_group_name_Hall 'P 1'
_cell_length_a 4.628
_cell_length_b 4.628
_cell_length_c 4.801
_cell_angle_alpha 90.00
_cell_angle_beta 90.00
_cell_angle_gamma 90.00
loop_
_atom_site_label
_atom_site_type_symbol
_atom_site_fract_x
_atom_site_fract_y
_atom_site_fract_z
S1 S 0.000 0.000 0.500
Al1 Al 0.000 0.000 0.000
O1 O 0.500 0.500 0.500
Cl1 Cl 0.000 0.500 0.000
Cl2 Cl 0.500 0.000 0.000
```



A plane-wave DFT calculation with PBE was carried out for a relaxed AlSCl2O crystal.

Results
Size of the total moment (Bohr magnetons per cell): 0.0
Energy above the lowest structure with this stoichiometry (eV/atom): 0.443
Uncorrected formation energy (eV per formula unit): 2.382
E (hartree per atom): -0.104
DOS(E_F) (states/eV per atom): 0.549

```
data_AlSCl2O
_space_group_name_H-M_alt 'P 1'
_space_group_IT_number 1
_space_group_name_Hall 'P 1'
_cell_length_a 4.575
_cell_length_b 4.575
_cell_length_c 4.177
_cell_angle_alpha 90.00
_cell_angle_beta 90.00
_cell_angle_gamma 90.00
loop_
_atom_site_label
_atom_site_type_symbol
_atom_site_fract_x
_atom_site_fract_y
_atom_site_fract_z
S1 S 0.000 0.000 0.500
Al1 Al 0.500 0.500 0.500
O1 O 0.000 0.000 0.000
Cl1 Cl 0.000 0.500 0.000
Cl2 Cl 0.500 0.000 0.000
```



> Which of these has the highest DOS(E_F)?

AlRhCl2O